Record 1
Entry from Alexandria via LeMat-Bulk: an optimized crystal structure of BaSm2Tc (PBE).

Cell lengths 3.6669, 3.6669, 33.9672 Å; angles 90.00, 90.00, 120.00 degrees
Space group R-3m (No. 166, hexagonal axes)
Inequivalent atoms, fractional coordinates:
1 Ba 0.0000 0.0000 0.0000 [3 per cell]
2 Sm 0.0000 0.0000 0.1092 [6 per cell]
3 Tc 0.0000 0.0000 0.5000 [3 per cell]

The value obtained for the volume is 395.5 Å³/cell. The formation energy comes out at 360 meV per atom. The total magnetization is 0.00 μB per cell. For the total energy, the calculation gives -60.86 eV for the cell shown.

Record 2
Entry from Alexandria via LeMat-Bulk: an optimized crystal structure of Nd5Cd2Ge2 (PBE).

Cell lengths 16.586, 7.882, 7.928 Å; angles 90.00, 90.00, 90.00 degrees
Space group Cmce (No. 64)
Inequivalent atoms, fractional coordinates:
1 Nd 0.000 0.000 0.000 [4 per cell]
2 Nd 0.127 0.185 0.321 [16 per cell]
3 Cd 0.220 0.000 0.000 [8 per cell]
4 Ge 0.000 0.119 0.621 [8 per cell]

The value obtained for the volume is 1036.4 Å³/cell. The formation energy comes out at -508 meV per atom. The total magnetization is 0.00 μB per cell. For the total energy, the calculation gives -157.89 eV for the cell shown.

Record 3
Entry from Alexandria via LeMat-Bulk: an optimized crystal structure of BeTeAu4 (PBE).

Cell lengths 7.848, 7.848, 7.848 Å; angles 90.00, 90.00, 90.00 degrees
Space group F-43m (No. 216)
Inequivalent atoms, fractional coordinates:
1 Be 0.000 0.000 0.000 [4 per cell]
2 Te 0.250 0.250 0.750 [4 per cell]
3 Au 0.125 0.125 0.375 [16 per cell]

The value obtained for the volume is 483.3 Å³/cell. The total magnetization is 0.00 μB per cell. For the total energy, the calculation gives -70.67 eV for the cell shown. The calculation puts the raw formation energy at 0.38 eV/atom.

Record 4
Entry from Alexandria via LeMat-Bulk: an optimized crystal structure of SrReO5 (PBE).

Cell lengths 9.460, 6.863, 7.682 Å; angles 90.00, 113.78, 90.00 degrees
Space group C2/c (No. 15)
Inequivalent atoms, fractional coordinates:
1 Sr 0.000 0.054 0.250 [4 per cell]
2 Re 0.000 0.500 0.000 [4 per cell]
3 O 0.000 0.441 0.250 [4 per cell]
4 O 0.010 0.233 0.961 [8 per cell]
5 O 0.213 0.485 0.608 [8 per cell]

The value obtained for the volume is 456.4 Å³/cell. The total magnetization is 4.08 μB per cell. For the total energy, the calculation gives -205.00 eV for the cell shown. The calculation puts the raw formation energy at -1.76 eV/atom.